(1)
## CdSe2NCl (meta-GGA SCAN)

Data for CdSe2NCl at its PBEsol-relaxed geometry.

ρ ... 5.47 Mg/m³
Total moment ... 1.7 μB/f.u.
ΔE_f (raw) ... 6.3 eV per formula unit
Space group ... P4/mmm (123)

Lattice parameters (Å, degrees): 3.9525 4.9557 4.9557 90.00 90.00 90.00
Last column: nearest neighbours and their distance in Å.
Element x y z (fractional)
Cd  0.5000  0.5000  0.5000  8 Se 3.17, 4 N 3.50
Cl  0.0000  0.0000  0.0000  2 N 1.98
Se  0.0000  0.5000  0.0000  2 Cl 2.48
Se  0.0000  0.0000  0.5000  2 Cl 2.48
N  0.5000  0.0000  0.0000  2 Cl 1.98

(2)
## CdTeN2Cl (meta-GGA SCAN)

Data for CdTeN2Cl at its PBEsol-relaxed geometry.

ρ ... 4.52 Mg/m³
Total moment ... 4.4 μB/f.u.
ΔE_f (raw) ... 7.3 eV per formula unit
Space group ... P4/mmm (123)

Lattice parameters (Å, degrees): 4.2452 4.2452 6.1896 90.00 90.00 90.00
Last column: nearest neighbours and their distance in Å.
Element x y z (fractional)
N  0.5000  0.0000  0.0000  2 Cd 2.12
N  0.0000  0.5000  0.0000  2 Cd 2.12
Cd  0.0000  0.0000  0.0000  4 N 2.12
Cl  0.5000  0.5000  0.5000  4 Te 3.00
Te  0.0000  0.0000  0.5000  4 Cl 3.00, 2 Cd 3.09

(3)
## Na2CdCl4 (meta-GGA SCAN)

Data for Na2CdCl4 at its PBEsol-relaxed geometry.

ρ ... 3.08 Mg/m³
Total moment ... 0.0 μB/f.u.
ΔE_f (raw) ... -11.9 eV per formula unit
Space group ... Pbam (55)

Lattice parameters (Å, degrees): 3.9204 6.9906 11.7961 90.00 90.00 90.00
Last column: nearest neighbours and their distance in Å.
Element x y z (fractional)
Cl  0.5000  0.2459  0.9555  2 Cd 2.66, 2 Na 2.90-2.92
Cl  0.5000  0.7541  0.0445  2 Cd 2.66, 2 Na 2.90-2.92
Cl  0.0000  0.1261  0.2048  1 Cd 2.57, 4 Na 2.80-2.81
Cl  0.0000  0.8739  0.7952  1 Cd 2.57, 4 Na 2.80-2.81
Cl  0.0000  0.6261  0.2952  1 Cd 2.57, 4 Na 2.80-2.81
Cl  0.0000  0.3739  0.7048  1 Cd 2.57, 4 Na 2.80-2.81
Cl  0.5000  0.2541  0.4555  2 Cd 2.66, 2 Na 2.90-2.92
Cl  0.5000  0.7459  0.5445  2 Cd 2.66, 2 Na 2.90-2.92
Na  0.5000  0.0890  0.6827  6 Cl 2.80-2.92
Na  0.5000  0.9110  0.3173  6 Cl 2.80-2.92
Na  0.5000  0.4110  0.1827  6 Cl 2.80-2.92
Na  0.5000  0.5890  0.8173  6 Cl 2.80-2.92
Cd  0.0000  0.5000  0.5000  6 Cl 2.57-2.66
Cd  0.0000  0.0000  0.0000  6 Cl 2.57-2.66

(4)
## RbNaCdCl2 (meta-GGA SCAN)

Data for RbNaCdCl2 at its PBEsol-relaxed geometry.

ρ ... 2.50 Mg/m³
Total moment ... 0.0 μB/f.u.
ΔE_f (raw) ... -2.8 eV per formula unit
Space group ... P4/mmm (123)

Lattice parameters (Å, degrees): 5.5806 5.5806 6.2303 90.00 90.00 90.00
Last column: nearest neighbours and their distance in Å.
Element x y z (fractional)
Na  0.5000  0.5000  0.5000  4 Rb 3.95, 8 Cl 4.18
Cl  0.0000  0.5000  0.0000  2 Cd 2.79
Cl  0.5000  0.0000  0.0000  2 Cd 2.79
Rb  0.0000  0.0000  0.5000  2 Cd 3.12
Cd  0.0000  0.0000  0.0000  4 Cl 2.79, 2 Rb 3.12

(5)
## NaCdS2Cl (meta-GGA SCAN)

Data for NaCdS2Cl at its PBEsol-relaxed geometry.

ρ ... 3.40 Mg/m³
Total moment ... 2.0 μB/f.u.
ΔE_f (raw) ... 1.2 eV per formula unit
Space group ... P4/mmm (123)

Lattice parameters (Å, degrees): 4.8709 4.8505 4.8505 90.00 90.00 90.00
Last column: nearest neighbours and their distance in Å.
Element x y z (fractional)
Cd  0.5000  0.5000  0.5000  4 Cl 3.43, 8 S 3.44
Na  0.0000  0.0000  0.0000  4 S 2.43, 2 Cl 2.44
Cl  0.5000  0.0000  0.0000  2 Na 2.44
S  0.0000  0.5000  0.0000  2 Na 2.43
S  0.0000  0.0000  0.5000  2 Na 2.43

(6)
## NaSrCdCl2 (meta-GGA SCAN)

Data for NaSrCdCl2 at its PBEsol-relaxed geometry.

ρ ... 2.02 Mg/m³
Total moment ... 0.0 μB/f.u.
ΔE_f (raw) ... -5.6 eV per formula unit
Space group ... P4/mmm (123)

Lattice parameters (Å, degrees): 5.4192 5.4192 8.2210 90.00 90.00 90.00
Last column: nearest neighbours and their distance in Å.
Element x y z (fractional)
Sr  0.0000  0.0000  0.0000  4 Cl 2.71
Cl  0.5000  0.0000  0.0000  2 Sr 2.71
Cl  0.0000  0.5000  0.0000  2 Sr 2.71
Na  0.0000  0.0000  0.5000  4 Cd 3.83, 2 Sr 4.11
Cd  0.5000  0.5000  0.5000  4 Na 3.83

| no. | calculated volume (Å³/cell) |
| --- | --- |
| 1 | 97 |
| 2 | 112 |
| 3 | 323 |
| 4 | 194 |
| 5 | 115 |
| 6 | 241 |